[1]
This record from the Alexandria database describes a geometry-optimized RbRePO2 structure. The functional is GGA-PBEsol.

Structure (CIF):
```
data_RbRePO2
_space_group_name_H-M_alt 'P 1'
_space_group_IT_number 1
_cell_length_a 3.943
_cell_length_b 3.943
_cell_length_c 6.175
_cell_angle_alpha 90.00
_cell_angle_beta 90.00
_cell_angle_gamma 90.00
loop_
_space_group_symop_operation_xyz
'x,y,z'
loop_
_atom_site_label
_atom_site_type_symbol
_atom_site_fract_x
_atom_site_fract_y
_atom_site_fract_z
_atom_site_occupancy
Rb1 Rb 0.000 0.000 0.000 1
Re1 Re 0.500 0.500 0.500 1
P1 P 0.000 0.000 0.500 1
O1 O 0.000 0.500 0.000 1
O2 O 0.500 0.000 0.000 1
```

Summary:
Volume   96.0 Å³/cell
Formation energy without anion corrections   1930.8 meV per atom

[2]
This record from the Alexandria database describes a geometry-optimized RbP2RhO structure. The functional is GGA-PBEsol.

Structure (CIF):
```
data_RbP2RhO
_space_group_name_H-M_alt 'P 1'
_space_group_IT_number 1
_cell_length_a 5.107
_cell_length_b 5.107
_cell_length_c 3.885
_cell_angle_alpha 90.00
_cell_angle_beta 90.00
_cell_angle_gamma 90.00
loop_
_space_group_symop_operation_xyz
'x,y,z'
loop_
_atom_site_label
_atom_site_type_symbol
_atom_site_fract_x
_atom_site_fract_y
_atom_site_fract_z
_atom_site_occupancy
Rb1 Rb 0.000 0.000 0.000 1
P1 P 0.000 0.500 0.000 1
P2 P 0.500 0.000 0.000 1
Rh1 Rh 0.500 0.500 0.500 1
O1 O 0.000 0.000 0.500 1
```

Summary:
Volume   101.3 Å³/cell
Formation energy without anion corrections   2118.7 meV per atom

[3]
This record from the Alexandria database describes a geometry-optimized RbPS2O structure. The functional is GGA-PBEsol.

Structure (CIF):
```
data_RbPS2O
_space_group_name_H-M_alt 'P 1'
_space_group_IT_number 1
_cell_length_a 6.457
_cell_length_b 6.457
_cell_length_c 7.079
_cell_angle_alpha 90.00
_cell_angle_beta 90.00
_cell_angle_gamma 90.00
loop_
_space_group_symop_operation_xyz
'x,y,z'
loop_
_atom_site_label
_atom_site_type_symbol
_atom_site_fract_x
_atom_site_fract_y
_atom_site_fract_z
_atom_site_occupancy
Rb1 Rb 0.000 0.000 0.000 1
P1 P 0.000 0.000 0.500 1
S1 S 0.000 0.500 0.000 1
S2 S 0.500 0.000 0.000 1
O1 O 0.500 0.500 0.500 1
```

Summary:
Volume   295.2 Å³/cell
Formation energy without anion corrections   2030.0 meV per atom

[4]
This record from the Alexandria database describes a geometry-optimized RbSb2PO8 structure. The functional is GGA-PBEsol.

Structure (CIF):
```
data_RbSb2PO8
_space_group_name_H-M_alt 'P 1'
_space_group_IT_number 1
_cell_length_a 7.220
_cell_length_b 7.220
_cell_length_c 15.129
_cell_angle_alpha 95.69
_cell_angle_beta 95.69
_cell_angle_gamma 59.41
loop_
_space_group_symop_operation_xyz
'x,y,z'
loop_
_atom_site_label
_atom_site_type_symbol
_atom_site_fract_x
_atom_site_fract_y
_atom_site_fract_z
_atom_site_occupancy
Rb1 Rb 0.089 0.851 0.612 1
Rb2 Rb 0.149 0.911 0.888 1
Rb3 Rb 0.851 0.089 0.112 1
Rb4 Rb 0.911 0.149 0.388 1
Sb1 Sb 0.123 0.380 0.747 1
Sb2 Sb 0.191 0.454 0.063 1
Sb3 Sb 0.380 0.123 0.247 1
Sb4 Sb 0.454 0.191 0.563 1
Sb5 Sb 0.546 0.809 0.437 1
Sb6 Sb 0.620 0.877 0.753 1
Sb7 Sb 0.809 0.546 0.937 1
Sb8 Sb 0.877 0.620 0.253 1
P1 P 0.289 0.511 0.394 1
P2 P 0.489 0.711 0.106 1
P3 P 0.511 0.289 0.894 1
P4 P 0.711 0.489 0.606 1
O1 O 0.002 0.332 0.027 1
O2 O 0.020 0.657 0.159 1
O3 O 0.063 0.305 0.247 1
O4 O 0.071 0.672 0.347 1
O5 O 0.248 0.406 0.468 1
O6 O 0.252 0.413 0.645 1
O7 O 0.305 0.063 0.747 1
O8 O 0.328 0.929 0.153 1
O9 O 0.332 0.002 0.527 1
O10 O 0.336 0.440 0.826 1
O11 O 0.343 0.980 0.341 1
O12 O 0.353 0.615 0.063 1
O13 O 0.385 0.647 0.437 1
O14 O 0.406 0.248 0.968 1
O15 O 0.413 0.252 0.145 1
O16 O 0.440 0.336 0.326 1
O17 O 0.560 0.664 0.674 1
O18 O 0.587 0.748 0.855 1
O19 O 0.594 0.752 0.032 1
O20 O 0.615 0.353 0.563 1
O21 O 0.647 0.385 0.937 1
O22 O 0.657 0.020 0.659 1
O23 O 0.664 0.560 0.174 1
O24 O 0.668 0.998 0.473 1
O25 O 0.672 0.071 0.847 1
O26 O 0.695 0.937 0.253 1
O27 O 0.748 0.587 0.355 1
O28 O 0.752 0.594 0.532 1
O29 O 0.929 0.328 0.653 1
O30 O 0.937 0.695 0.753 1
O31 O 0.980 0.343 0.841 1
O32 O 0.998 0.668 0.973 1
```

Summary:
Volume   674.5 Å³/cell
Formation energy without anion corrections   -1786.8 meV per atom

[5]
This record from the Alexandria database describes a geometry-optimized Rb2ScPO structure. The functional is GGA-PBEsol.

Structure (CIF):
```
data_Rb2ScPO
_space_group_name_H-M_alt 'P 1'
_space_group_IT_number 1
_cell_length_a 7.020
_cell_length_b 7.020
_cell_length_c 3.529
_cell_angle_alpha 90.00
_cell_angle_beta 90.00
_cell_angle_gamma 90.00
loop_
_space_group_symop_operation_xyz
'x,y,z'
loop_
_atom_site_label
_atom_site_type_symbol
_atom_site_fract_x
_atom_site_fract_y
_atom_site_fract_z
_atom_site_occupancy
Rb1 Rb 0.000 0.500 0.000 1
Rb2 Rb 0.500 0.000 0.000 1
Sc1 Sc 0.000 0.000 0.500 1
P1 P 0.500 0.500 0.000 1
O1 O 0.500 0.500 0.500 1
```

Summary:
Volume   173.9 Å³/cell
Formation energy without anion corrections   286.0 meV per atom

[6]
This record from the Alexandria database describes a geometry-optimized RbSmP4O12 structure. The functional is GGA-PBEsol.

Structure (CIF):
```
data_RbSmP4O12
_space_group_name_H-M_alt 'P 1'
_space_group_IT_number 1
_cell_length_a 7.498
_cell_length_b 7.498
_cell_length_c 10.597
_cell_angle_alpha 100.98
_cell_angle_beta 100.98
_cell_angle_gamma 116.53
loop_
_space_group_symop_operation_xyz
'x,y,z'
loop_
_atom_site_label
_atom_site_type_symbol
_atom_site_fract_x
_atom_site_fract_y
_atom_site_fract_z
_atom_site_occupancy
Rb1 Rb 0.189 0.811 0.750 1
Rb2 Rb 0.811 0.189 0.250 1
Sm1 Sm 0.121 0.879 0.250 1
Sm2 Sm 0.879 0.121 0.750 1
P1 P 0.255 0.305 0.556 1
P2 P 0.291 0.625 0.009 1
P3 P 0.305 0.255 0.056 1
P4 P 0.375 0.709 0.491 1
P5 P 0.625 0.291 0.509 1
P6 P 0.695 0.745 0.944 1
P7 P 0.709 0.375 0.991 1
P8 P 0.745 0.695 0.444 1
O1 O 0.094 0.485 0.893 1
O2 O 0.138 0.157 0.415 1
O3 O 0.157 0.138 0.915 1
O4 O 0.181 0.252 0.672 1
O5 O 0.193 0.690 0.391 1
O6 O 0.252 0.181 0.172 1
O7 O 0.275 0.528 0.560 1
O8 O 0.310 0.807 0.109 1
O9 O 0.362 0.498 0.092 1
O10 O 0.472 0.725 0.940 1
O11 O 0.485 0.094 0.393 1
O12 O 0.498 0.362 0.592 1
O13 O 0.502 0.638 0.408 1
O14 O 0.515 0.906 0.607 1
O15 O 0.528 0.275 0.060 1
O16 O 0.638 0.502 0.908 1
O17 O 0.690 0.193 0.891 1
O18 O 0.725 0.472 0.440 1
O19 O 0.748 0.819 0.828 1
O20 O 0.807 0.310 0.609 1
O21 O 0.819 0.748 0.328 1
O22 O 0.843 0.862 0.085 1
O23 O 0.862 0.843 0.585 1
O24 O 0.906 0.515 0.107 1
```

Summary:
Volume   496.8 Å³/cell
Formation energy without anion corrections   -2475.3 meV per atom

Number 1: energy -21.0 eV/f.u.. Number 2: energy -15.4 eV/f.u.. Number 3: energy -10.7 eV/f.u.. Number 4: energy -79.4 eV/f.u.. Number 5: energy -18.3 eV/f.u.. Number 6: energy -136.8 eV/f.u..